Density functional theory data (SCAN) for HoGa2Ni at its PBEsol-relaxed geometry.

Results
- Total energy: -25.213 eV/atom
- M_tot: 0.0 μB/f.u.
- DOS at the Fermi energy: 0.42 states/eV/atom

a b c (Å): 4.0722 5.3317 6.5381
angles (deg): 90.00 90.00 112.45
Last column: nearest neighbours and their distance in Å.
Positions (direct):
Ni  0.7904  0.5808  0.2500  6 Ga 2.46-2.50
Ni  0.2096  0.4192  0.7500  6 Ga 2.46-2.50
Ho  0.0732  0.1464  0.2500  3 Ni 2.79-2.95, 6 Ga 2.92-3.08
Ho  0.9268  0.8536  0.7500  3 Ni 2.79-2.95, 6 Ga 2.92-3.08
Ga  0.3578  0.7156  0.0537  3 Ni 2.46-2.50, 1 Ga 2.57
Ga  0.6422  0.2844  0.9463  3 Ni 2.46-2.50, 1 Ga 2.57
Ga  0.6422  0.2844  0.5537  3 Ni 2.46-2.50, 1 Ga 2.57
Ga  0.3578  0.7156  0.4463  3 Ni 2.46-2.50, 1 Ga 2.57